Density functional theory data (PBE) for a relaxed HgGe crystal.

Cell: 4.0145 4.0148 7.5040 Å, 90.00 73.51 60.04°
With the nearest neighbours (Å) after each atom.
Fractional positions:
Hg  0.2356  0.3819  0.1463  3 Ge 3.03-3.10, 3 Hg 3.10-3.14
Hg  0.7644  0.6181  0.8537  3 Ge 3.03-3.10, 3 Hg 3.10-3.14
Ge  0.7197  0.1403  0.4272  3 Ge 2.53-2.54
Ge  0.2803  0.8597  0.5728  3 Ge 2.53-2.54

Results
Its energy relative to the elements is 0.16 eV/atom. As for the space group: C2/m. Its total magnetization is 0.000 μB per atom.

=====

Density functional theory data (PBE) for a relaxed Pm2HgP2N6 crystal.

Cell: 6.2767 6.5932 6.7104 Å, 115.51 90.00 61.58°
With the nearest neighbours (Å) after each atom.
Fractional positions:
Pm  0.8322  0.3356  0.7899  6 N 2.37-2.63
Pm  0.1678  0.6644  0.2101  6 N 2.37-2.63
Hg  0.5000  0.0000  0.5000  8 N 3.44-3.47, 2 P 3.53, 4 Pm 3.70
P  0.1513  0.6974  0.7637  3 N 1.56-1.57
P  0.8487  0.3026  0.2363  3 N 1.56-1.57
N  0.3955  0.6202  0.8523  1 P 1.57
N  0.0156  0.3798  0.1477  1 P 1.57
N  0.0739  0.8523  0.6277  1 P 1.56
N  0.9844  0.6202  0.8523  1 P 1.57
N  0.9261  0.1477  0.3723  1 P 1.56
N  0.6045  0.3798  0.1477  1 P 1.57

Results
Its uncorrected formation energy is -443 meV per atom. As for the space group: C2/m. Its total magnetization is 0.182 μB per atom.

=====

Density functional theory data (PBE) for a relaxed CaHgBiPd crystal.

Cell: 5.1425 5.1425 5.1425 Å, 60.00 60.00 60.00°
With the nearest neighbours (Å) after each atom.
Fractional positions:
Ca  0.2500  0.2500  0.2500  4 Hg 3.15, 4 Pd 3.15
Bi  0.7500  0.7500  0.7500  4 Pd 3.15, 4 Hg 3.15
Pd  0.0000  0.0000  0.0000  4 Bi 3.15, 4 Ca 3.15
Hg  0.5000  0.5000  0.5000  4 Bi 3.15, 4 Ca 3.15

Results
Its energy relative to the elements is -0.42 eV/atom. As for the space group: F-43m. Its total magnetization is 0.000 μB per atom.

=====

Table of VASP energy (eV per cell), in record order: -9.22, -75.45, -13.06